! SCAN KAuSe5, PBEsol geometry; values from VASP
! * size of the total moment: 0.00 μB/f.u.
! * space-group type: Ibam
! * calculated volume: 790.9 Å³/cell
! * DFT total energy: -25.816 eV/atom
! * ΔE_f (raw): -405 meV/atom
&SYSTEM
  ibrav = 0, nat = 28, ntyp = 3
/
ATOMIC_SPECIES
K 39.10 K.upf
Au 196.97 Au.upf
Se 78.96 Se.upf
ATOMIC_POSITIONS crystal
K 0.5000 0.5000 0.5000
K 0.0000 0.0000 0.0000
K 0.7500 0.7500 0.7500
K 0.2500 0.2500 0.2500
Au 0.2500 0.6177 0.8823
Au 0.2500 0.8823 0.6177
Au 0.7500 0.3823 0.1177
Au 0.7500 0.1177 0.3823
Se 0.4450 0.2191 0.4710
Se 0.6351 0.2809 0.0290
Se 0.0550 0.0290 0.2809
Se 0.8649 0.4710 0.2191
Se 0.5550 0.7809 0.5290
Se 0.3649 0.7191 0.9710
Se 0.9450 0.9710 0.7191
Se 0.1351 0.5290 0.7809
Se 0.6260 0.9526 0.2828
Se 0.3614 0.5474 0.2172
Se 0.8740 0.2172 0.5474
Se 0.1386 0.2828 0.9526
Se 0.3740 0.0474 0.7172
Se 0.6386 0.4526 0.7828
Se 0.1260 0.7828 0.4526
Se 0.8614 0.7172 0.0474
Se 0.0907 0.6314 0.3686
Se 0.5907 0.8686 0.1314
Se 0.4093 0.1314 0.8686
Se 0.9093 0.3686 0.6314
CELL_PARAMETERS angstrom
8.8866 0.0000 0.0000
4.4433 9.8049 0.0734
4.4433 3.6394 9.1047

=====

! SCAN Au2CCl, PBEsol geometry; values from VASP
! * size of the total moment: 1.05 μB/f.u.
! * space-group type: Fm-3m
! * calculated volume: 60.7 Å³/cell
! * DFT total energy: -37.281 eV/atom
! * ΔE_f (raw): 1816 meV/atom
&SYSTEM
  ibrav = 0, nat = 4, ntyp = 3
/
ATOMIC_SPECIES
C 12.01 C.upf
Au 196.97 Au.upf
Cl 35.45 Cl.upf
ATOMIC_POSITIONS crystal
C 0.0000 0.0000 0.0000
Au 0.2500 0.2500 0.2500
Au 0.7500 0.7500 0.7500
Cl 0.5000 0.5000 0.5000
CELL_PARAMETERS angstrom
-2.0843 -3.4995 1.6952
1.9405 -3.9618 -0.0516
1.4259 -1.8071 3.7637

=====

! SCAN AlBSe2, PBEsol geometry; values from VASP
! * size of the total moment: 0.00 μB/f.u.
! * space-group type: I-42d
! * calculated volume: 152.5 Å³/cell
! * DFT total energy: -13.665 eV/atom
! * ΔE_f (raw): 170 meV/atom
&SYSTEM
  ibrav = 0, nat = 8, ntyp = 3
/
ATOMIC_SPECIES
B 10.81 B.upf
Al 26.98 Al.upf
Se 78.96 Se.upf
ATOMIC_POSITIONS crystal
B 0.0000 0.5000 0.5000
B 0.5000 0.2500 0.7500
Al 0.0000 0.0000 0.0000
Al 0.5000 0.7500 0.2500
Se 0.0998 0.8750 0.4748
Se 0.9002 0.3750 0.7752
Se 0.4002 0.5252 0.6250
Se 0.5998 0.2248 0.1250
CELL_PARAMETERS angstrom
-3.0322 -2.0291 -4.5821
-1.7581 -2.1969 5.1371
-0.6748 5.7479 0.9020

=====

! SCAN HfReSe2Br, PBEsol geometry; values from VASP
! * size of the total moment: 5.96 μB/f.u.
! * space-group type: P4/mmm
! * calculated volume: 135.4 Å³/cell
! * DFT total energy: -38.164 eV/atom
! * ΔE_f (raw): 513 meV/atom
&SYSTEM
  ibrav = 0, nat = 5, ntyp = 4
/
ATOMIC_SPECIES
Re 186.21 Re.upf
Hf 178.49 Hf.upf
Se 78.96 Se.upf
Br 79.90 Br.upf
ATOMIC_POSITIONS crystal
Re 0.5000 0.5000 0.5000
Hf 0.0000 0.0000 0.0000
Se 0.0000 0.5000 0.0000
Se 0.5000 0.0000 0.0000
Br 0.0000 0.0000 0.5000
CELL_PARAMETERS angstrom
-4.1465 1.6556 2.5081
2.1247 -1.4074 4.4418
2.1431 4.6759 0.4564

=====

! SCAN SbP2Cl, PBEsol geometry; values from VASP
! * size of the total moment: 0.00 μB/f.u.
! * space-group type: P4/mmm
! * calculated volume: 73.8 Å³/cell
! * DFT total energy: -15.668 eV/atom
! * ΔE_f (raw): 841 meV/atom
! * energy above the most stable polymorph in this dataset: 427.8 meV per atom
&SYSTEM
  ibrav = 0, nat = 4, ntyp = 3
/
ATOMIC_SPECIES
Sb 121.76 Sb.upf
P 30.97 P.upf
Cl 35.45 Cl.upf
ATOMIC_POSITIONS crystal
Sb 0.5000 0.5000 0.5000
P 0.0000 0.0000 0.5000
P 0.0000 0.5000 0.0000
Cl 0.5000 0.0000 0.0000
CELL_PARAMETERS angstrom
-0.2973 3.3325 0.8157
-1.7500 0.8709 -4.1958
-4.2665 -0.7767 1.6183

=====

! SCAN LiCaNi2, PBEsol geometry; values from VASP
! * ΔE_f: 216 meV per atom
! * size of the total moment: 1.14 μB/f.u.
! * space-group type: Pmm2
! * calculated volume: 69.3 Å³/cell
! * DFT total energy: -10.884 eV/atom
&SYSTEM
  ibrav = 0, nat = 4, ntyp = 3
/
ATOMIC_SPECIES
Ca 40.08 Ca.upf
Li 6.94 Li.upf
Ni 58.69 Ni.upf
ATOMIC_POSITIONS crystal
Ca 0.0000 0.0000 0.4397
Li 0.5000 0.5000 0.8309
Ni 0.0000 0.0000 0.0577
Ni 0.5000 0.5000 0.1717
CELL_PARAMETERS angstrom
3.0994 0.0000 0.0000
0.0000 3.1526 0.0000
0.0000 0.0000 7.0941

=====

! SCAN CaY2Ir, PBEsol geometry; values from VASP
! * ΔE_f: -411 meV per atom
! * size of the total moment: 0.00 μB/f.u.
! * space-group type: Imm2
! * calculated volume: 103.1 Å³/cell
! * DFT total energy: -34.523 eV/atom
&SYSTEM
  ibrav = 0, nat = 4, ntyp = 3
/
ATOMIC_SPECIES
Y 88.91 Y.upf
Ca 40.08 Ca.upf
Ir 192.22 Ir.upf
ATOMIC_POSITIONS crystal
Y 0.9380 0.9380 0.8760
Y 0.7476 0.2476 0.4952
Ca 0.5561 0.5561 0.1122
Ir 0.2583 0.7583 0.5166
CELL_PARAMETERS angstrom
3.5590 0.0000 0.0000
0.0000 5.0768 0.0000
-1.7795 -2.5384 5.7038

=====

! SCAN Cs2KCrCl6, PBEsol geometry; values from VASP
! * size of the total moment: 3.00 μB/f.u.
! * space-group type: Fm-3m
! * calculated volume: 292.7 Å³/cell
! * DFT total energy: -17.018 eV/atom
! * ΔE_f (raw): -1998 meV/atom
&SYSTEM
  ibrav = 0, nat = 10, ntyp = 4
/
ATOMIC_SPECIES
Cs 132.91 Cs.upf
Cr 52.00 Cr.upf
K 39.10 K.upf
Cl 35.45 Cl.upf
ATOMIC_POSITIONS crystal
Cs 0.7500 0.7500 0.7500
Cs 0.2500 0.2500 0.2500
Cr 0.0000 0.0000 0.0000
K 0.5000 0.5000 0.5000
Cl 0.7792 0.2208 0.2208
Cl 0.2208 0.7792 0.2208
Cl 0.2208 0.2208 0.7792
Cl 0.7792 0.2208 0.7792
Cl 0.7792 0.7792 0.2208
Cl 0.2208 0.7792 0.7792
CELL_PARAMETERS angstrom
-3.2091 5.7102 -3.5545
-6.7495 2.3704 2.0891
-0.7445 6.5768 3.4250

=====

! SCAN Ba2CuAs, PBEsol geometry; values from VASP
! * ΔE_f: -639 meV per atom
! * size of the total moment: 0.00 μB/f.u.
! * space-group type: Amm2
! * calculated volume: 122.6 Å³/cell
! * DFT total energy: -29.261 eV/atom
&SYSTEM
  ibrav = 0, nat = 4, ntyp = 3
/
ATOMIC_SPECIES
As 74.92 As.upf
Ba 137.33 Ba.upf
Cu 63.55 Cu.upf
ATOMIC_POSITIONS crystal
As 0.8749 0.6857 0.3713
Ba 0.8754 0.9840 0.9679
Ba 0.3749 0.2603 0.5207
Cu 0.3748 0.5700 0.1401
CELL_PARAMETERS angstrom
-1.1577 -0.5670 4.2349
4.3461 -1.0102 1.0529
-1.0781 6.3465 0.5585

=====

! SCAN BaSr2Cu, PBEsol geometry; values from VASP
! * ΔE_f: 328 meV per atom
! * size of the total moment: 0.00 μB/f.u.
! * space-group type: P4/mmm
! * calculated volume: 153.7 Å³/cell
! * DFT total energy: -24.497 eV/atom
! * energy above the most stable polymorph in this dataset: 272.7 meV per atom
&SYSTEM
  ibrav = 0, nat = 4, ntyp = 3
/
ATOMIC_SPECIES
Ba 137.33 Ba.upf
Cu 63.55 Cu.upf
Sr 87.62 Sr.upf
ATOMIC_POSITIONS crystal
Ba 0.5000 0.5000 0.5000
Cu 0.0000 0.0000 0.5000
Sr 0.0000 0.5000 0.0000
Sr 0.5000 0.0000 0.0000
CELL_PARAMETERS angstrom
-2.9848 1.2165 3.9708
-3.7560 -2.8772 -1.9418
2.0354 -4.6513 2.9550

=====

! SCAN MnZnSBr2, PBEsol geometry; values from VASP
! * size of the total moment: 4.78 μB/f.u.
! * space-group type: P4/mmm
! * calculated volume: 131.0 Å³/cell
! * DFT total energy: -15.890 eV/atom
! * ΔE_f (raw): 174 meV/atom
&SYSTEM
  ibrav = 0, nat = 5, ntyp = 4
/
ATOMIC_SPECIES
Zn 65.41 Zn.upf
Mn 54.94 Mn.upf
S 32.06 S.upf
Br 79.90 Br.upf
ATOMIC_POSITIONS crystal
Zn 0.5000 0.5000 0.5000
Mn 0.5000 0.0000 0.0000
S 0.0000 0.0000 0.0000
Br 0.0000 0.0000 0.5000
Br 0.0000 0.5000 0.0000
CELL_PARAMETERS angstrom
-4.2351 -1.0539 0.7302
1.5628 -3.8348 3.5295
-0.2078 3.6360 4.0425

=====

! SCAN Li8La, PBEsol geometry; values from VASP
! * ΔE_f: 49 meV per atom
! * size of the total moment: 1.62 μB/f.u.
! * space-group type: I4/mmm
! * calculated volume: 200.8 Å³/cell
! * DFT total energy: -6.864 eV/atom
&SYSTEM
  ibrav = 0, nat = 9, ntyp = 2
/
ATOMIC_SPECIES
La 138.91 La.upf
Li 6.94 Li.upf
ATOMIC_POSITIONS crystal
La 0.0000 0.0000 0.0000
Li 0.3201 0.0000 0.3597
Li 0.6799 0.0000 0.6403
Li 0.6715 0.3285 0.3285
Li 0.3201 0.3597 0.0000
Li 0.0000 0.3285 0.6715
Li 0.6799 0.6403 0.0000
Li 0.3285 0.6715 0.6715
Li 0.0000 0.6715 0.3285
CELL_PARAMETERS angstrom
3.3425 0.0000 0.0000
1.6713 7.7516 0.0000
1.6713 0.0000 7.7516

=====

- Which value of DFT total energy does entry 5 give?
  -15.668 eV/atom

=====

- What is the formula in the sixth record?
  LiCaNi2

=====

Repeat the fifth record exactly.
! SCAN SbP2Cl, PBEsol geometry; values from VASP
! * size of the total moment: 0.00 μB/f.u.
! * space-group type: P4/mmm
! * calculated volume: 73.8 Å³/cell
! * DFT total energy: -15.668 eV/atom
! * ΔE_f (raw): 841 meV/atom
! * energy above the most stable polymorph in this dataset: 427.8 meV per atom
&SYSTEM
  ibrav = 0, nat = 4, ntyp = 3
/
ATOMIC_SPECIES
Sb 121.76 Sb.upf
P 30.97 P.upf
Cl 35.45 Cl.upf
ATOMIC_POSITIONS crystal
Sb 0.5000 0.5000 0.5000
P 0.0000 0.0000 0.5000
P 0.0000 0.5000 0.0000
Cl 0.5000 0.0000 0.0000
CELL_PARAMETERS angstrom
-0.2973 3.3325 0.8157
-1.7500 0.8709 -4.1958
-4.2665 -0.7767 1.6183